A plane-wave DFT calculation with PBE-GGA was carried out for Na3Zn after structural relaxation.

Cell and atoms, written as CIF:
```
data_Na3Zn
_cell_length_a 3.306
_cell_length_b 3.434
_cell_length_c 10.771
_cell_angle_alpha 90.00
_cell_angle_beta 90.00
_cell_angle_gamma 90.00
_space_group_name_H-M_alt 'P m m 2'
_space_group_IT_number 25
loop_
_space_group_symop_operation_xyz
'x,y,z'
'-x,-y,z'
'-x,y,z'
'x,-y,z'
loop_
_atom_site_label
_atom_site_fract_x
_atom_site_fract_y
_atom_site_fract_z
_atom_site_occupancy
Na1 0.000 0.000 0.000 1
Na2 0.000 0.500 0.297 1
Na3 0.500 0.500 0.725 1
Zn1 0.500 0.000 0.489 1
```

Results
Calculated volume in Å³ per atom: 30.6
Fermi-level density of states in states/eV/f.u.: 2.0
Formation enthalpy at 0 K in eV per atom: 0.1205
Crystal system: orthorhombic